Ce2YScS6 (GGA-PBE, relaxed); formation energy (no corrections) = -1.942 eV/atom; volume = 25.48 Å³ per atom; D(E_F) = 10.9 states/eV/cell; space group = No. 146; crystal system = trigonal
1.0
3.485 2.012 6.057
-3.485 2.012 6.057
0.000 -4.024 6.057
Ce Y Sc S
2 1 1 6
Direct
0.000 0.000 0.000
0.498 0.498 0.498
0.292 0.292 0.292
0.795 0.795 0.795
0.068 0.430 0.673
0.164 0.914 0.585
0.430 0.673 0.068
0.585 0.164 0.914
0.673 0.068 0.430
0.914 0.585 0.164

=====

TaSi2Tc (GGA-PBE, relaxed); excess energy over the best structure of this formula in the dataset = 338 meV/atom; formation energy (no corrections) = -0.154 eV/atom; volume = 14.99 Å³ per atom; D(E_F) = 2.3 states/eV/cell; space group = No. 10; crystal system = monoclinic
1.0
4.549 0.000 0.000
0.000 3.064 0.000
-1.715 0.000 4.303
Ta Si Tc
1 2 1
Direct
0.000 0.000 0.000
0.000 0.500 0.500
0.500 0.000 0.500
0.500 0.500 0.000

=====

Rb3Pu3VSe8 (GGA-PBE, relaxed); formation energy (no corrections) = -1.243 eV/atom; volume = 32.19 Å³ per atom; D(E_F) = 41.2 states/eV/cell; space group = No. 166; crystal system = trigonal
1.0
4.140 2.390 8.132
-4.140 2.390 8.132
0.000 -4.780 8.132
Rb Pu V Se
3 3 1 8
Direct
0.000 0.500 0.500
0.500 0.000 0.500
0.500 0.500 0.000
0.000 0.000 0.500
0.000 0.500 0.000
0.500 0.000 0.000
0.500 0.500 0.500
0.232 0.232 0.232
0.251 0.715 0.715
0.285 0.285 0.749
0.285 0.749 0.285
0.715 0.251 0.715
0.715 0.715 0.251
0.749 0.285 0.285
0.768 0.768 0.768